1.
This record from Alexandria describes a relaxed Pr2MgBePd6 crystal. The functional is GGA-PBE.

## Properties
Formation enthalpy at 0 K   -6.11 eV/f.u.

Unit cell a=5.9036 b=7.2998 c=7.3037 alpha=47.67 beta=66.16 gamma=90.00
Sites, in units of the cell vectors:
1 Pr 0.7325 0.2679 0.5351
2 Pr 0.2675 0.7321 0.4649
3 Mg 0.0000 0.0000 0.0000
4 Be 0.5000 0.5000 0.0000
5 Pd 0.2632 0.2166 0.4737
6 Pd 0.7846 0.7372 0.9522
7 Pd 0.2633 0.7373 0.9523
8 Pd 0.7367 0.2627 0.0477
9 Pd 0.2154 0.2628 0.0478
10 Pd 0.7368 0.7834 0.5263


2.
This record from Alexandria describes a relaxed MgBePdPt crystal. The functional is GGA-PBE.

## Properties
Formation enthalpy at 0 K   -2.47 eV/f.u.

Unit cell a=4.2585 b=4.2585 c=4.2585 alpha=60.00 beta=60.00 gamma=60.00
Sites, in units of the cell vectors:
1 Be 0.5000 0.5000 0.5000
2 Mg 0.0000 0.0000 0.0000
3 Pd 0.2500 0.2500 0.2500
4 Pt 0.7500 0.7500 0.7500


3.
This record from Alexandria describes a relaxed MgBePdRh crystal. The functional is GGA-PBE.

## Properties
Formation enthalpy at 0 K   -2.08 eV/f.u.

Unit cell a=4.2102 b=4.2102 c=4.2102 alpha=60.00 beta=60.00 gamma=60.00
Sites, in units of the cell vectors:
1 Be 0.7500 0.7500 0.7500
2 Mg 0.2500 0.2500 0.2500
3 Rh 0.5000 0.5000 0.5000
4 Pd 0.0000 0.0000 0.0000


4.
This record from Alexandria describes a relaxed Mg2BeSi2Pd5 crystal. The functional is GGA-PBE.

## Properties
ΔE_f (raw)   -563 meV/atom

Unit cell a=3.0508 b=9.9427 c=9.9427 alpha=90.00 beta=90.00 gamma=90.00
Sites, in units of the cell vectors:
1 Mg 0.0000 0.6717 0.1717
2 Mg 0.0000 0.3283 0.8283
3 Mg 0.0000 0.1717 0.3283
4 Mg 0.0000 0.8283 0.6717
5 Be 0.0000 0.0000 0.0000
6 Be 0.0000 0.5000 0.5000
7 Si 0.0000 0.1365 0.6365
8 Si 0.0000 0.8635 0.3635
9 Si 0.0000 0.6365 0.8635
10 Si 0.0000 0.3635 0.1365
11 Pd 0.5000 0.1964 0.0460
12 Pd 0.5000 0.8036 0.9540
13 Pd 0.5000 0.0460 0.8036
14 Pd 0.5000 0.6964 0.4540
15 Pd 0.5000 0.9540 0.1964
16 Pd 0.5000 0.3036 0.5460
17 Pd 0.5000 0.5460 0.6964
18 Pd 0.5000 0.4540 0.3036
19 Pd 0.5000 0.5000 0.0000
20 Pd 0.5000 0.0000 0.5000


5.
This record from Alexandria describes a relaxed Mg2Be2SnPd5 crystal. The functional is GGA-PBE.

## Properties
Formation enthalpy at 0 K   -6.19 eV/f.u.

Unit cell a=3.3479 b=9.5263 c=9.5263 alpha=90.00 beta=90.00 gamma=90.00
Sites, in units of the cell vectors:
1 Mg 0.0000 0.6738 0.1738
2 Mg 0.0000 0.3262 0.8262
3 Mg 0.0000 0.1738 0.3262
4 Mg 0.0000 0.8262 0.6738
5 Be 0.0000 0.1207 0.6207
6 Be 0.0000 0.8793 0.3793
7 Be 0.0000 0.6207 0.8793
8 Be 0.0000 0.3793 0.1207
9 Sn 0.0000 0.0000 0.0000
10 Sn 0.0000 0.5000 0.5000
11 Pd 0.5000 0.2138 0.0761
12 Pd 0.5000 0.7862 0.9239
13 Pd 0.5000 0.0761 0.7862
14 Pd 0.5000 0.7138 0.4239
15 Pd 0.5000 0.9239 0.2138
16 Pd 0.5000 0.2862 0.5761
17 Pd 0.5000 0.5761 0.7138
18 Pd 0.5000 0.4239 0.2862
19 Pd 0.5000 0.5000 0.0000
20 Pd 0.5000 0.0000 0.5000


6.
This record from Alexandria describes a relaxed Tb2MgBePd6 crystal. The functional is GGA-PBE.

## Properties
Formation enthalpy at 0 K   -6.40 eV/f.u.

Unit cell a=5.7614 b=7.2528 c=7.2892 alpha=46.53 beta=66.68 gamma=90.02
Sites, in units of the cell vectors:
1 Tb 0.7773 0.3320 0.4488
2 Tb 0.2227 0.6680 0.5512
3 Mg 0.0000 0.0000 0.0000
4 Be 0.5000 0.5000 0.0000
5 Pd 0.2900 0.3512 0.4235
6 Pd 0.8429 0.8148 0.8326
7 Pd 0.3254 0.8152 0.8325
8 Pd 0.6746 0.1848 0.1675
9 Pd 0.1571 0.1852 0.1674
10 Pd 0.7100 0.6488 0.5765


7.
This record from Alexandria describes a relaxed MgTiBe2Pd crystal. The functional is GGA-PBE.

## Properties
Formation enthalpy at 0 K   2.02 eV/f.u.

Unit cell a=4.2419 b=4.6265 c=4.2419 alpha=90.00 beta=90.00 gamma=90.00
Sites, in units of the cell vectors:
1 Be 0.0000 0.0000 0.5000
2 Be 0.5000 0.0000 0.0000
3 Mg 0.0000 0.5000 0.0000
4 Pd 0.0000 0.0000 0.0000
5 Ti 0.5000 0.5000 0.5000


8.
This record from Alexandria describes a relaxed MgTi2Be2Pd5 crystal. The functional is GGA-PBE.

## Properties
Formation enthalpy at 0 K   -5.25 eV/f.u.

Unit cell a=3.1893 b=9.4678 c=9.4678 alpha=90.00 beta=90.00 gamma=90.00
Sites, in units of the cell vectors:
1 Mg 0.0000 0.0000 0.0000
2 Mg 0.0000 0.5000 0.5000
3 Ti 0.0000 0.6754 0.1754
4 Ti 0.0000 0.3246 0.8246
5 Ti 0.0000 0.1754 0.3246
6 Ti 0.0000 0.8246 0.6754
7 Be 0.0000 0.1235 0.6235
8 Be 0.0000 0.8765 0.3765
9 Be 0.0000 0.6235 0.8765
10 Be 0.0000 0.3765 0.1235
11 Pd 0.5000 0.2129 0.0708
12 Pd 0.5000 0.7871 0.9292
13 Pd 0.5000 0.0708 0.7871
14 Pd 0.5000 0.7129 0.4292
15 Pd 0.5000 0.9292 0.2129
16 Pd 0.5000 0.2871 0.5708
17 Pd 0.5000 0.5708 0.7129
18 Pd 0.5000 0.4292 0.2871
19 Pd 0.5000 0.5000 0.0000
20 Pd 0.5000 0.0000 0.5000


9.
This record from Alexandria describes a relaxed TmMgBePd crystal. The functional is GGA-PBE.

## Properties
Formation enthalpy at 0 K   -1.23 eV/f.u.

Unit cell a=4.6624 b=4.6624 c=4.6624 alpha=60.00 beta=60.00 gamma=60.00
Sites, in units of the cell vectors:
1 Be 0.5000 0.5000 0.5000
2 Mg 0.7500 0.7500 0.7500
3 Tm 0.2500 0.2500 0.2500
4 Pd 0.0000 0.0000 0.0000


10.
This record from Alexandria describes a relaxed Y2MgBe2Pd5 crystal. The functional is GGA-PBE.

## Properties
Formation enthalpy at 0 K   -7.56 eV/f.u.

Unit cell a=3.4725 b=9.7178 c=9.7178 alpha=90.00 beta=90.00 gamma=90.00
Sites, in units of the cell vectors:
1 Y 0.0000 0.6775 0.1775
2 Y 0.0000 0.3225 0.8225
3 Y 0.0000 0.1775 0.3225
4 Y 0.0000 0.8225 0.6775
5 Mg 0.0000 0.0000 0.0000
6 Mg 0.0000 0.5000 0.5000
7 Be 0.0000 0.1190 0.6190
8 Be 0.0000 0.8810 0.3810
9 Be 0.0000 0.6190 0.8810
10 Be 0.0000 0.3810 0.1190
11 Pd 0.5000 0.2183 0.0685
12 Pd 0.5000 0.7817 0.9315
13 Pd 0.5000 0.0685 0.7817
14 Pd 0.5000 0.7183 0.4315
15 Pd 0.5000 0.9315 0.2183
16 Pd 0.5000 0.2817 0.5685
17 Pd 0.5000 0.5685 0.7183
18 Pd 0.5000 0.4315 0.2817
19 Pd 0.5000 0.5000 0.0000
20 Pd 0.5000 0.0000 0.5000


11.
This record from Alexandria describes a relaxed Mg2Be2ZnPd5 crystal. The functional is GGA-PBE.

## Properties
Formation enthalpy at 0 K   -6.24 eV/f.u.

Unit cell a=3.1945 b=9.4595 c=9.4595 alpha=90.00 beta=90.00 gamma=90.00
Sites, in units of the cell vectors:
1 Mg 0.0000 0.6737 0.1737
2 Mg 0.0000 0.3263 0.8263
3 Mg 0.0000 0.1737 0.3263
4 Mg 0.0000 0.8263 0.6737
5 Be 0.0000 0.1265 0.6265
6 Be 0.0000 0.8735 0.3735
7 Be 0.0000 0.6265 0.8735
8 Be 0.0000 0.3735 0.1265
9 Zn 0.0000 0.0000 0.0000
10 Zn 0.0000 0.5000 0.5000
11 Pd 0.5000 0.2085 0.0724
12 Pd 0.5000 0.7915 0.9276
13 Pd 0.5000 0.0724 0.7915
14 Pd 0.5000 0.7085 0.4276
15 Pd 0.5000 0.9276 0.2085
16 Pd 0.5000 0.2915 0.5724
17 Pd 0.5000 0.5724 0.7085
18 Pd 0.5000 0.4276 0.2915
19 Pd 0.5000 0.5000 0.0000
20 Pd 0.5000 0.0000 0.5000